Entry 1:
DFT (PBE-GGA) results for crystalline Y5Co2Si at its relaxed geometry.

Unit cell a=8.5663 b=8.5663 c=8.5663 alpha=128.93 beta=128.93 gamma=75.13
Atoms (fractional coordinates):
Y: 0.0000 0.0000 0.0000
Y: 0.0280 0.5280 0.8392
Y: 0.1888 0.0280 0.5000
Y: 0.3112 0.8112 0.8392
Y: 0.4720 0.3112 0.5000
Y: 0.5000 0.5000 0.0000
Y: 0.5280 0.6888 0.5000
Y: 0.6888 0.1888 0.1608
Y: 0.8112 0.9720 0.5000
Y: 0.9720 0.4720 0.1608
Co: 0.1126 0.3874 0.5000
Co: 0.3874 0.8874 0.2749
Co: 0.6126 0.1126 0.7251
Co: 0.8874 0.6126 0.5000
Si: 0.2500 0.2500 0.0000
Si: 0.7500 0.7500 0.0000

Computed properties:
ΔE_f (raw) ... -2.544 eV per formula unit
Magnetization ... 0.0 μB per cell
Symmetry ... No. 140
D(E_F) ... 1.251 states/eV/atom



Entry 2:
DFT (PBE-GGA) results for crystalline YCo2Si2 at its relaxed geometry.

Unit cell a=5.6093 b=5.6093 c=5.6093 alpha=139.58 beta=139.58 gamma=58.50
Atoms (fractional coordinates):
Y: 0.0000 0.0000 0.0000
Co: 0.2500 0.7500 0.5000
Co: 0.7500 0.2500 0.5000
Si: 0.3714 0.3714 0.0000
Si: 0.6286 0.6286 0.0000

Computed properties:
ΔE_f (raw) ... -4.149 eV per formula unit
Magnetization ... 0.0 μB per cell
Symmetry ... No. 139
D(E_F) ... 0.558 states/eV/atom